A relaxed LaNd2Y2Er crystal. Source: Alexandria, functional PBE.

Values from the calculation:
- Formation enthalpy at 0 K: 0.08 eV per atom
- N(E_F): 9.50 states/eV/f.u.
- Total moment: 0.00 μB per atom
- ρ: 6.32 g cm⁻³
- V: 406.2 Å³/cell

Unit cell a=5.7275 b=10.0909 c=7.0284 alpha=90.00 beta=90.00 gamma=90.00
Closest atoms and distances in Å follow each position.
Space group Pmc2_1 (No. 26)
Inequivalent atoms, fractional coordinates:
La  0.0000  0.1815  0.0000 (multiplicity 2)  5 Y 3.26-3.60, 1 Nd 3.61
Nd  0.0000  0.4851  0.3156 (multiplicity 2)  6 Nd 3.53-3.93, 5 Y 3.58-3.73, 2 La 3.61-3.78
Nd  0.5000  0.3075  0.5757 (multiplicity 2)  5 Y 3.35-3.59, 2 Er 3.52-3.68
Y  0.0000  0.1419  0.5084 (multiplicity 2)  3 La 3.26-3.60, 2 Nd 3.35, 2 Er 3.58
Y  0.5000  0.3588  0.0703 (multiplicity 2)  7 Nd 3.37-3.73, 2 La 3.41, 1 Er 3.71
Er  0.5000  0.0161  0.2617 (multiplicity 2)  2 Nd 3.52-3.68, 2 Er 3.53, 5 Y 3.58-3.73, 4 La 3.79-3.87